1.
This record from Alexandria via LeMat-Bulk describes a relaxed structure of LaY2Au. The functional is GGA-PBEsol.

Symmetry: P4/mmm (123)
ΔH_f (0 K), eV per atom: -0.4098
E, eV/atom: -6.14

Lattice parameters (Å, degrees): 3.592 3.592 8.458 90.00 90.00 90.00
Fractional positions:
Y: 0.000 0.000 0.800
Y: 0.000 0.000 0.200
Au: 0.500 0.500 0.000
La: 0.500 0.500 0.500

=====

2.
This record from Alexandria via LeMat-Bulk describes a relaxed structure of La2YAu. The functional is GGA-PBEsol.

Symmetry: R-3m (166)
ΔH_f (0 K), eV per atom: -0.2261
E, eV/atom: -5.59

Lattice parameters (Å, degrees): 3.760 3.760 10.268 79.45 79.45 60.00
Fractional positions:
Au: 0.000 0.000 0.000
La: 0.262 0.262 0.214
La: 0.738 0.738 0.786
Y: 0.500 0.500 0.500

=====

3.
This record from Alexandria via LeMat-Bulk describes a relaxed structure of LaY2Au. The functional is GGA-PBEsol.

Symmetry: I-4m2 (119)
ΔH_f (0 K), eV per atom: -0.2295
E, eV/atom: -5.96

Lattice parameters (Å, degrees): 4.557 4.557 5.923 112.62 112.62 90.00
Fractional positions:
Au: 0.500 0.500 0.000
La: 0.250 0.750 0.500
Y: 0.000 0.000 0.000
Y: 0.750 0.250 0.500

=====

4.
This record from Alexandria via LeMat-Bulk describes a relaxed structure of La2YAu. The functional is GGA-PBEsol.

Symmetry: I4/mmm (139)
ΔH_f (0 K), eV per atom: -0.2543
E, eV/atom: -5.61

Lattice parameters (Å, degrees): 4.575 4.575 6.019 112.33 112.33 90.00
Fractional positions:
Au: 0.000 0.000 0.000
La: 0.750 0.250 0.500
La: 0.250 0.750 0.500
Y: 0.500 0.500 0.000

=====

5.
This record from Alexandria via LeMat-Bulk describes a relaxed structure of LaYAu2. The functional is GGA-PBEsol.

Symmetry: I-4m2 (119)
ΔH_f (0 K), eV per atom: -0.5870
E, eV/atom: -5.59

Lattice parameters (Å, degrees): 4.383 4.383 5.646 112.84 112.84 90.00
Fractional positions:
Au: 0.000 0.000 0.000
Au: 0.750 0.250 0.500
La: 0.500 0.500 0.000
Y: 0.250 0.750 0.500

=====

6.
This record from Alexandria via LeMat-Bulk describes a relaxed structure of La2YAu. The functional is GGA-PBEsol.

Symmetry: P4mm (99)
ΔH_f (0 K), eV per atom: -0.3872
E, eV/atom: -5.75

Lattice parameters (Å, degrees): 3.642 3.642 8.556 90.00 90.00 90.00
Fractional positions:
Y: 0.000 0.000 0.551
Au: 0.500 0.500 0.731
La: 0.000 0.000 0.962
La: 0.500 0.500 0.256

=====

7.
This record from Alexandria via LeMat-Bulk describes a relaxed structure of LaZnAu. The functional is GGA-PBEsol.

Symmetry: P-6m2 (187)
ΔH_f (0 K), eV per atom: -0.6434
E, eV/atom: -4.26

Lattice parameters (Å, degrees): 3.662 4.586 4.586 120.00 90.00 90.00
Fractional positions:
Zn: 0.500 0.333 0.667
Au: 0.500 0.000 0.000
La: 0.000 0.667 0.333

=====

8.
This record from Alexandria via LeMat-Bulk describes a relaxed structure of LaZn2Au2. The functional is GGA-PBEsol.

Symmetry: I4/mmm (139)
ΔH_f (0 K), eV per atom: -0.5158
E, eV/atom: -3.79

Lattice parameters (Å, degrees): 4.631 4.631 5.712 113.92 113.92 90.00
Fractional positions:
Zn: 0.372 0.372 0.744
Zn: 0.628 0.628 0.256
Au: 0.250 0.750 0.500
Au: 0.750 0.250 0.500
La: 0.000 0.000 0.000

=====

Question: The highest ΔH_f (0 K) belongs to which entry?
Answer: number 2

=====

Question: Among the records above, which one has the highest E?
Answer: LaZn2Au2